Compound: PmPr6Dy2Ho
Source: the Alexandria database
Functional: PBE
Structure: optimized geometry

Structure (extended XYZ):
```
20
Lattice="9.295 -2.033 -2.110 0.816 8.749 -2.030 0.816 -2.353 8.668" Properties=species:S:1:pos:R:3 pbc="T T T"
Dy 5.436 4.418 3.509
Dy 10.083 2.326 3.490
Dy 5.491 -0.056 1.018
Dy 0.844 2.036 1.037
Pr 6.715 1.361 3.821
Pr 1.219 -0.890 6.237
Pr 5.867 5.249 -1.714
Pr 4.212 3.001 0.706
Pr 5.060 -0.887 6.241
Pr 4.064 7.026 1.106
Pr 2.216 4.534 -1.480
Pr 8.711 -0.172 6.007
Pr 2.068 4.785 2.557
Pr 8.859 -0.422 1.971
Pr 6.863 -2.664 3.421
Pr 9.707 5.253 -1.710
Pm 7.787 -3.578 6.796
Pm 3.140 7.941 -2.269
Ho 7.787 2.656 0.789
Ho 3.140 1.706 3.739
```

Calculated values
- D(E_F) (states/eV per atom) = 1.457
- SG = C2/c
- uncorrected energy (eV for the cell shown) = -92.2
- calculated density (kg/m³) = 7051
- energy relative to the elements (meV/atom) = 113